[1]
Compound: FeS3N2Cl5
Source: the Alexandria database
Functional: GGA-PBEsol
Structure: relaxed

```
44
Lattice="-6.920 -1.584 5.741 6.924 -2.561 7.640 0.346 10.674 3.264" Properties=species:S:1:pos:R:3 pbc="T T T"
Cl -0.304 0.278 12.148
Cl 1.674 3.442 11.230
Cl -0.796 5.737 10.065
Cl -0.747 9.468 4.138
Cl 1.146 0.792 6.580
Cl 0.041 -1.846 8.913
Cl 4.480 -0.925 6.197
Cl 1.538 4.370 7.746
Cl -4.741 2.771 7.407
Cl 5.091 3.759 9.238
Cl -1.188 2.159 8.899
Cl 0.309 8.375 7.732
Cl -4.131 7.455 10.448
Cl -5.572 6.606 7.297
Cl 0.653 6.252 4.497
Cl -2.324 -0.120 6.459
Cl 2.673 6.649 10.186
Cl 5.921 -0.076 9.348
Cl 1.096 -2.939 12.507
Cl -1.324 3.088 5.415
N -2.588 8.580 6.984
N -2.159 3.164 12.167
N -4.033 -0.547 9.335
N 2.509 3.366 4.478
N 2.783 0.195 10.793
N 2.938 -2.050 9.661
N 4.382 7.076 7.310
N -2.434 6.334 5.852
Fe 1.279 5.034 9.801
Fe -0.929 1.496 6.844
Fe 1.010 8.251 3.736
Fe -0.661 -1.721 12.909
S -1.197 5.230 13.859
S 3.745 6.004 6.375
S -1.718 7.904 8.109
S -2.877 7.806 5.594
S -1.795 5.865 7.227
S -1.023 3.098 13.255
S 1.373 3.431 3.390
S 2.145 0.665 9.417
S -3.396 0.525 10.270
S 1.547 1.299 2.786
S 2.068 -1.374 8.536
S 3.227 -1.276 11.051
```

Output
For the energy relative to the elements, uncorrected, the calculation gives -0.20 eV/atom.

[2]
Compound: MgCo2Ni
Source: the Alexandria database
Functional: GGA-PBEsol
Structure: relaxed

```
4
Lattice="3.513 0.000 0.000 0.000 3.513 0.000 -1.756 -1.756 3.798" Properties=species:S:1:pos:R:3 pbc="T T T"
Mg 1.756 1.756 0.000
Co 1.756 0.000 1.899
Co 0.000 1.756 1.899
Ni 0.000 0.000 0.000
```

Output
For the formation energy from the elements, the calculation gives 0.147 eV per atom.

[3]
Compound: CuBBrF2
Source: the Alexandria database
Functional: GGA-PBEsol
Structure: relaxed

```
5
Lattice="-2.507 1.450 2.267 -0.190 -3.187 1.827 3.676 1.545 3.078" Properties=species:S:1:pos:R:3 pbc="T T T"
B 1.838 0.772 1.539
Br 0.489 -0.096 3.586
Cu 0.000 0.000 0.000
F -1.254 0.725 1.134
F -0.095 -1.593 0.914
```

Output
For the energy relative to the elements, uncorrected, the calculation gives -0.21 eV/atom.

[4]
Compound: ZnGe2PtW
Source: the Alexandria database
Functional: GGA-PBEsol
Structure: relaxed

```
5
Lattice="4.826 0.000 0.000 0.000 4.826 0.000 0.000 0.000 4.863" Properties=species:S:1:pos:R:3 pbc="T T T"
Ge 0.000 2.413 0.000
Ge 2.413 0.000 0.000
Pt 0.000 0.000 2.431
W 0.000 0.000 0.000
Zn 2.413 2.413 2.431
```

Output
For the formation energy from the elements, the calculation gives 0.902 eV per atom.

[5]
Compound: KBeFe2
Source: the Alexandria database
Functional: GGA-PBEsol
Structure: relaxed

```
4
Lattice="2.532 0.000 0.000 0.000 4.697 0.000 0.000 0.000 4.857" Properties=species:S:1:pos:R:3 pbc="T T T"
Fe 0.000 0.000 0.000
Fe 1.266 0.000 2.428
K 1.266 2.348 0.000
Be 0.000 2.348 2.428
```

Output
For the formation energy from the elements, the calculation gives 1.293 eV per atom.

[6]
Compound: Cd3BiPt
Source: the Alexandria database
Functional: GGA-PBEsol
Structure: relaxed

```
5
Lattice="5.439 0.000 0.000 0.000 5.439 0.000 0.000 0.000 5.439" Properties=species:S:1:pos:R:3 pbc="T T T"
Pt 2.719 2.719 2.719
Cd 2.719 0.000 0.000
Cd 0.000 0.000 2.719
Cd 0.000 2.719 0.000
Bi 0.000 0.000 0.000
```

Output
For the formation energy from the elements, the calculation gives 1.127 eV per atom.

[7]
Compound: Ag2BiC
Source: the Alexandria database
Functional: GGA-PBEsol
Structure: relaxed

```
4
Lattice="4.635 0.000 0.000 2.317 4.014 0.000 2.317 1.338 3.784" Properties=species:S:1:pos:R:3 pbc="T T T"
Ag 6.952 4.014 2.838
Ag 2.317 1.338 0.946
Bi 4.635 2.676 1.892
C 0.000 0.000 0.000
```

Output
For the formation energy from the elements, the calculation gives 1.395 eV per atom.

[8]
Compound: LiRhAu2
Source: the Alexandria database
Functional: GGA-PBEsol
Structure: relaxed

```
4
Lattice="-1.920 0.890 3.250 -3.254 -1.462 -1.522 3.488 -3.291 0.648" Properties=species:S:1:pos:R:3 pbc="T T T"
Li -2.587 -0.286 0.864
Au -0.510 -1.343 2.381
Au 0.000 0.000 0.000
Rh -1.177 -2.520 -0.005
```

Output
For the formation energy from the elements, the calculation gives -0.112 eV per atom.

Number 1: E -205.671 eV for the cell shown, magnetic moment 20.00 μB per cell. Number 2: E -22.761 eV for the cell shown, magnetic moment 3.51 μB per cell. Number 3: E -18.145 eV for the cell shown, magnetic moment 0.00 μB per cell. Number 4: E -27.719 eV for the cell shown, magnetic moment 0.00 μB per cell. Number 5: E -17.887 eV for the cell shown, magnetic moment 4.60 μB per cell. Number 6: E -9.207 eV for the cell shown, magnetic moment 0.00 μB per cell. Number 7: E -14.971 eV for the cell shown, magnetic moment 0.00 μB per cell. Number 8: E -18.399 eV for the cell shown, magnetic moment 0.00 μB per cell.